i:
Entry from Alexandria via LeMat-Bulk: Sr2PtF after structural relaxation (PBE-GGA).

Output
M_tot (Bohr magnetons per cell): 0.000

abc: 7.195 7.195 8.215
angles: 90.00 90.00 90.00
Space group I-42d (No. 122)
Unique sites:
Sr: 0.198 0.750 0.125 (multiplicity 8)
Pt: 0.000 0.000 0.500 (multiplicity 4)
F: 0.000 0.000 0.000 (multiplicity 4)


ii:
Entry from Alexandria via LeMat-Bulk: Sr2PtF after structural relaxation (PBE-GGA).

Output
M_tot (Bohr magnetons per cell): 2.806

abc: 3.6978 3.6978 26.9752
angles: 90.00 90.00 120.00
Space group R-3m (No. 166, hexagonal axes)
Unique sites:
Sr: 0.0000 0.0000 0.1017 (multiplicity 6)
Pt: 0.0000 0.0000 0.0000 (multiplicity 3)
F: 0.0000 0.0000 0.5000 (multiplicity 3)


Energy comparison, zero being the most stable, in kJ/mol of atoms: i 0.0; ii 77.0.


i:
Entry from Alexandria via LeMat-Bulk: SrPtF2 after structural relaxation (PBE-GGA).

Output
M_tot (Bohr magnetons per cell): 0.000

abc: 4.396 4.396 15.273
angles: 90.00 90.00 90.00
Space group I-42d (No. 122)
Unique sites:
Sr: 0.000 0.000 0.000 (multiplicity 4)
Pt: 0.000 0.000 0.500 (multiplicity 4)
F: 0.224 0.250 0.625 (multiplicity 8)


ii:
Entry from Alexandria via LeMat-Bulk: SrPtF2 after structural relaxation (PBE-GGA).

Output
M_tot (Bohr magnetons per cell): 4.282

abc: 3.4128 3.4128 25.2922
angles: 90.00 90.00 120.00
Space group R-3m (No. 166, hexagonal axes)
Unique sites:
Sr: 0.0000 0.0000 0.0000 (multiplicity 3)
Pt: 0.0000 0.0000 0.5000 (multiplicity 3)
F: 0.0000 0.0000 0.0874 (multiplicity 6)


iii:
Entry from Alexandria via LeMat-Bulk: SrPtF2 after structural relaxation (PBE-GGA).

Output
M_tot (Bohr magnetons per cell): 0.782

abc: 6.382 6.382 6.382
angles: 90.00 90.00 90.00
Space group Fm-3m (No. 225)
Unique sites:
Sr: 0.000 0.000 0.000 (multiplicity 4)
Pt: 0.000 0.000 0.500 (multiplicity 4)
F: 0.250 0.250 0.250 (multiplicity 8)


Energy comparison, zero being the most stable, in kJ/mol of atoms: i 0.0; ii 99.0; iii 10.2.


i:
Entry from Alexandria via LeMat-Bulk: Sr2PtF2 after structural relaxation (PBE-GGA).

Output
M_tot (Bohr magnetons per cell): 0.000

abc: 4.894 4.894 8.940
angles: 90.00 90.00 90.00
Space group I4/mmm (No. 139)
Unique sites:
Sr: 0.000 0.500 0.250 (multiplicity 4)
Pt: 0.000 0.000 0.000 (multiplicity 2)
F: 0.000 0.000 0.330 (multiplicity 4)


ii:
Entry from Alexandria via LeMat-Bulk: Sr2PtF2 after structural relaxation (PBE-GGA).

Output
M_tot (Bohr magnetons per cell): 0.000

abc: 7.537 7.537 3.255
angles: 90.00 90.00 90.00
Space group P4/mbm (No. 127)
Unique sites:
Sr: 0.184 0.316 0.000 (multiplicity 4)
Pt: 0.000 0.000 0.500 (multiplicity 2)
F: 0.117 0.617 0.500 (multiplicity 4)


Energy comparison, zero being the most stable, in kJ/mol of atoms: i 1.2; ii 0.0.


i:
Entry from Alexandria via LeMat-Bulk: TaPtF2 after structural relaxation (PBE-GGA).

Output
M_tot (Bohr magnetons per cell): 0.000

abc: 5.932 5.932 5.932
angles: 90.00 90.00 90.00
Space group Fm-3m (No. 225)
Unique sites:
Ta: 0.000 0.000 0.000 (multiplicity 4)
Pt: 0.000 0.000 0.500 (multiplicity 4)
F: 0.250 0.250 0.250 (multiplicity 8)


ii:
Entry from Alexandria via LeMat-Bulk: TaPtF2 after structural relaxation (PBE-GGA).

Output
M_tot (Bohr magnetons per cell): 0.000

abc: 2.7474 2.7474 30.8273
angles: 90.00 90.00 120.00
Space group R-3m (No. 166, hexagonal axes)
Unique sites:
Ta: 0.0000 0.0000 0.0000 (multiplicity 3)
Pt: 0.0000 0.0000 0.5000 (multiplicity 3)
F: 0.0000 0.0000 0.3832 (multiplicity 6)


Energy comparison, zero being the most stable, in kJ/mol of atoms: i 83.5; ii 0.0.


i:
Entry from Alexandria via LeMat-Bulk: TaPtF3 after structural relaxation (PBE-GGA).

Output
M_tot (Bohr magnetons per cell): 3.316

abc: 4.353 4.353 4.353
angles: 90.00 90.00 90.00
Space group Pm-3m (No. 221)
Unique sites:
Ta: 0.000 0.000 0.000 (multiplicity 1)
Pt: 0.500 0.500 0.500 (multiplicity 1)
F: 0.000 0.500 0.500 (multiplicity 3)


ii:
Entry from Alexandria via LeMat-Bulk: TaPtF3 after structural relaxation (PBE-GGA).

Output
M_tot (Bohr magnetons per cell): 0.000

abc: 4.143 4.143 4.143
angles: 90.00 90.00 90.00
Space group Pm-3m (No. 221)
Unique sites:
Ta: 0.000 0.000 0.000 (multiplicity 1)
Pt: 0.500 0.500 0.500 (multiplicity 1)
F: 0.000 0.000 0.500 (multiplicity 3)


Energy comparison, zero being the most stable, in kJ/mol of atoms: i 124.2; ii 0.0.


i:
Entry from Alexandria via LeMat-Bulk: TcPt3F after structural relaxation (PBE-GGA).

Output
M_tot (Bohr magnetons per cell): 0.000

abc: 4.780 4.780 4.780
angles: 90.00 90.00 90.00
Space group Pm-3m (No. 221)
Unique sites:
Tc: 0.000 0.000 0.000 (multiplicity 1)
Pt: 0.000 0.000 0.500 (multiplicity 3)
F: 0.500 0.500 0.500 (multiplicity 1)


ii:
Entry from Alexandria via LeMat-Bulk: TcPt3F after structural relaxation (PBE-GGA).

Output
M_tot (Bohr magnetons per cell): 4.038

abc: 4.356 4.356 4.356
angles: 90.00 90.00 90.00
Space group Pm-3m (No. 221)
Unique sites:
Tc: 0.000 0.000 0.000 (multiplicity 1)
Pt: 0.000 0.500 0.500 (multiplicity 3)
F: 0.500 0.500 0.500 (multiplicity 1)


Energy comparison, zero being the most stable, in kJ/mol of atoms: i 19.2; ii 0.0.


i:
Entry from Alexandria via LeMat-Bulk: Tc2PtF after structural relaxation (PBE-GGA).

Output
M_tot (Bohr magnetons per cell): 0.000

abc: 6.065 6.065 6.065
angles: 90.00 90.00 90.00
Space group Fm-3m (No. 225)
Unique sites:
Tc: 0.250 0.250 0.250 (multiplicity 8)
Pt: 0.000 0.000 0.000 (multiplicity 4)
F: 0.000 0.000 0.500 (multiplicity 4)


ii:
Entry from Alexandria via LeMat-Bulk: Tc2PtF after structural relaxation (PBE-GGA).

Output
M_tot (Bohr magnetons per cell): 0.000

abc: 6.510 6.510 5.321
angles: 90.00 90.00 90.00
Space group I-42d (No. 122)
Unique sites:
Tc: 0.198 0.250 0.125 (multiplicity 8)
Pt: 0.000 0.000 0.500 (multiplicity 4)
F: 0.000 0.000 0.000 (multiplicity 4)


Energy comparison, zero being the most stable, in kJ/mol of atoms: i 0.0; ii 11.7.


i:
Entry from Alexandria via LeMat-Bulk: TcPt2F2 after structural relaxation (PBE-GGA).

Output
M_tot (Bohr magnetons per cell): 3.569

abc: 7.139 7.139 2.668
angles: 90.00 90.00 90.00
Space group P4/mbm (No. 127)
Unique sites:
Tc: 0.000 0.000 0.000 (multiplicity 2)
Pt: 0.194 0.306 0.500 (multiplicity 4)
F: 0.112 0.612 0.000 (multiplicity 4)


ii:
Entry from Alexandria via LeMat-Bulk: TcPt2F2 after structural relaxation (PBE-GGA).

Output
M_tot (Bohr magnetons per cell): 1.659

abc: 4.871 4.871 5.982
angles: 90.00 90.00 90.00
Space group I4/mmm (No. 139)
Unique sites:
Tc: 0.000 0.000 0.000 (multiplicity 2)
Pt: 0.000 0.500 0.250 (multiplicity 4)
F: 0.000 0.000 0.329 (multiplicity 4)


Energy comparison, zero being the most stable, in kJ/mol of atoms: i 21.0; ii 0.0.